Density functional theory data (GGA-PBE) for an optimized crystal structure of Ti6H2N.

a = 4.8040 Å, b = 5.7401 Å, c = 9.3842 Å
α = 90.00°, β = 119.50°, γ = 90.00°
Closest atoms and distances in Å follow each position.
Positions (direct):
Ti: 0.0038 0.0027 0.2301  2 H 1.87-1.88
Ti: 0.0038 0.4973 0.7301  2 H 1.87-1.88
Ti: 0.3366 0.7424 0.0860  1 H 1.85, 1 N 2.04
Ti: 0.3366 0.7576 0.5860  1 H 1.85, 1 N 2.04
Ti: 0.3483 0.2492 0.5801  1 H 1.87, 1 N 2.05
Ti: 0.3483 0.2508 0.0801  1 H 1.87, 1 N 2.05
Ti: 0.6517 0.7492 0.9199  1 H 1.87, 1 N 2.05
Ti: 0.6517 0.7508 0.4199  1 H 1.87, 1 N 2.05
Ti: 0.6634 0.2424 0.4140  1 H 1.85, 1 N 2.04
Ti: 0.6634 0.2576 0.9140  1 H 1.85, 1 N 2.04
Ti: 0.9962 0.5027 0.2699  2 H 1.87-1.88
Ti: 0.9962 0.9973 0.7699  2 H 1.87-1.88
H: 0.2435 0.2323 0.7474  4 Ti 1.85-1.88
H: 0.2435 0.2677 0.2474  4 Ti 1.85-1.88
H: 0.7565 0.7323 0.7526  4 Ti 1.85-1.88
H: 0.7565 0.7677 0.2526  4 Ti 1.85-1.88
N: 0.0000 0.0000 0.0000  6 Ti 2.04-2.15
N: 0.0000 0.5000 0.5000  6 Ti 2.04-2.15

Computed properties:
As for the crystal system: monoclinic. The offset from the most stable computed form comes out at 0.234 eV per formula unit. As for the space group: P2_1/c (14).


Density functional theory data (GGA-PBE) for an optimized crystal structure of TiHN2.

a = 4.9710 Å, b = 4.9710 Å, c = 4.9710 Å
α = 90.00°, β = 90.00°, γ = 90.00°
Closest atoms and distances in Å follow each position.
Positions (direct):
Ti: 0.0000 0.0000 0.0000  8 N 2.15
Ti: 0.0000 0.5000 0.5000  8 N 2.15
Ti: 0.5000 0.0000 0.5000  8 N 2.15
Ti: 0.5000 0.5000 0.0000  8 N 2.15
H: 0.0000 0.0000 0.5000  8 N 2.15
H: 0.0000 0.5000 0.0000  8 N 2.15
H: 0.5000 0.0000 0.0000  8 N 2.15
H: 0.5000 0.5000 0.5000  8 N 2.15
N: 0.2500 0.2500 0.2500  4 Ti 2.15, 4 H 2.15
N: 0.2500 0.2500 0.7500  4 H 2.15, 4 Ti 2.15
N: 0.2500 0.7500 0.2500  4 H 2.15, 4 Ti 2.15
N: 0.2500 0.7500 0.7500  4 Ti 2.15, 4 H 2.15
N: 0.7500 0.2500 0.2500  4 H 2.15, 4 Ti 2.15
N: 0.7500 0.2500 0.7500  4 Ti 2.15, 4 H 2.15
N: 0.7500 0.7500 0.2500  4 Ti 2.15, 4 H 2.15
N: 0.7500 0.7500 0.7500  4 H 2.15, 4 Ti 2.15

Computed properties:
As for the crystal system: cubic. The offset from the most stable computed form comes out at 3.732 eV per formula unit. As for the space group: Fm-3m (225).


Density functional theory data (GGA-PBE) for an optimized crystal structure of TiHN.

a = 2.9929 Å, b = 2.9929 Å, c = 5.5281 Å
α = 90.00°, β = 90.00°, γ = 120.00°
Closest atoms and distances in Å follow each position.
Positions (direct):
Ti: 0.3333 0.6667 0.2500  3 H 1.73
Ti: 0.6667 0.3333 0.7500  3 H 1.73
H: 0.3333 0.6667 0.7500  3 Ti 1.73
H: 0.6667 0.3333 0.2500  3 Ti 1.73
N: 0.0000 0.0000 0.0000  6 H 2.21, 6 Ti 2.21
N: 0.0000 0.0000 0.5000  6 H 2.21, 6 Ti 2.21

Computed properties:
As for the crystal system: hexagonal. As for the total energy: -7.343 eV/atom. As for the space group: P6_3/mmc (194).


Density functional theory data (GGA-PBE) for an optimized crystal structure of Ti2HN.

a = 4.2198 Å, b = 4.2198 Å, c = 8.5699 Å
α = 90.00°, β = 90.00°, γ = 90.00°
Closest atoms and distances in Å follow each position.
Positions (direct):
Ti: 0.0000 0.2500 0.1118  3 N 2.03-2.11, 3 H 2.11-2.26
Ti: 0.0000 0.2500 0.6382  3 N 2.03-2.11, 3 H 2.11-2.26
Ti: 0.0000 0.7500 0.3618  3 N 2.03-2.11, 3 H 2.11-2.26
Ti: 0.0000 0.7500 0.8882  3 N 2.03-2.11, 3 H 2.11-2.26
Ti: 0.5000 0.2500 0.3882  3 N 2.03-2.11, 3 H 2.11-2.26
Ti: 0.5000 0.2500 0.8618  3 N 2.03-2.11, 3 H 2.11-2.26
Ti: 0.5000 0.7500 0.1382  3 N 2.03-2.11, 3 H 2.11-2.26
Ti: 0.5000 0.7500 0.6118  3 N 2.03-2.11, 3 H 2.11-2.26
H: 0.0000 0.2500 0.3750  6 Ti 2.11-2.26
H: 0.0000 0.7500 0.6250  6 Ti 2.11-2.26
H: 0.5000 0.2500 0.1250  6 Ti 2.11-2.26
H: 0.5000 0.7500 0.8750  6 Ti 2.11-2.26
N: 0.0000 0.2500 0.8750  6 Ti 2.03-2.11
N: 0.0000 0.7500 0.1250  6 Ti 2.03-2.11
N: 0.5000 0.2500 0.6250  6 Ti 2.03-2.11
N: 0.5000 0.7500 0.3750  6 Ti 2.03-2.11

Computed properties:
As for the crystal system: tetragonal. The offset from the most stable computed form comes out at 0.000 eV per formula unit. As for the space group: I4_1/amd (141).


Density functional theory data (GGA-PBE) for an optimized crystal structure of Ti4H3N.

a = 5.0298 Å, b = 6.0435 Å, c = 5.1346 Å
α = 90.00°, β = 106.86°, γ = 90.00°
Closest atoms and distances in Å follow each position.
Positions (direct):
Ti: 0.2419 0.1206 0.4924  2 N 2.04-2.09, 4 H 2.04-2.21
Ti: 0.2419 0.8794 0.9924  2 N 2.04-2.09, 4 H 2.04-2.21
Ti: 0.2496 0.3722 0.9930  5 H 2.01-2.15, 1 N 2.11
Ti: 0.2496 0.6278 0.4930  5 H 2.01-2.15, 1 N 2.11
Ti: 0.7504 0.3722 0.5070  5 H 2.01-2.15, 1 N 2.11
Ti: 0.7504 0.6278 0.0070  5 H 2.01-2.15, 1 N 2.11
Ti: 0.7581 0.1206 0.0076  2 N 2.04-2.09, 4 H 2.04-2.21
Ti: 0.7581 0.8794 0.5076  2 N 2.04-2.09, 4 H 2.04-2.21
H: 0.0000 0.3737 0.2500  6 Ti 2.07-2.14
H: 0.0000 0.6263 0.7500  6 Ti 2.07-2.14
H: 0.5000 0.1245 0.2500  6 Ti 2.04-2.15
H: 0.5000 0.3782 0.7500  6 Ti 2.01-2.21
H: 0.5000 0.6218 0.2500  6 Ti 2.01-2.21
H: 0.5000 0.8755 0.7500  6 Ti 2.04-2.15
N: 0.0000 0.1263 0.7500  6 Ti 2.04-2.11
N: 0.0000 0.8737 0.2500  6 Ti 2.04-2.11

Computed properties:
As for the crystal system: monoclinic. As for the total energy: -6.982 eV/atom. As for the space group: P2/c (13).


Density functional theory data (GGA-PBE) for an optimized crystal structure of Ti6HN3.

a = 6.6970 Å, b = 6.6970 Å, c = 5.0394 Å
α = 90.00°, β = 90.00°, γ = 102.32°
Closest atoms and distances in Å follow each position.
Positions (direct):
Ti: 0.0373 0.9627 0.5000  1 H 1.84
Ti: 0.1112 0.5466 0.5360  1 H 1.85
Ti: 0.2212 0.7788 0.0018  1 H 1.89
Ti: 0.2946 0.3752 0.0262  4 N 2.07-2.31
Ti: 0.3752 0.2946 0.5262  4 N 2.07-2.31
Ti: 0.4534 0.8888 0.5360  1 H 1.85
Ti: 0.5466 0.1112 0.0360  1 H 1.85
Ti: 0.6248 0.7054 0.0262  4 N 2.07-2.31
Ti: 0.7054 0.6248 0.5262  4 N 2.07-2.31
Ti: 0.7788 0.2212 0.5018  1 H 1.89
Ti: 0.8888 0.4534 0.0360  1 H 1.85
Ti: 0.9627 0.0373 0.0000  1 H 1.84
H: 0.2031 0.7969 0.3749  4 Ti 1.84-1.89
H: 0.7969 0.2031 0.8749  4 Ti 1.84-1.89
N: 0.0696 0.2743 0.3051  6 Ti 2.07-2.31
N: 0.2743 0.0696 0.8051  6 Ti 2.07-2.31
N: 0.3995 0.6005 0.7358  7 Ti 2.11-2.29
N: 0.6005 0.3995 0.2358  7 Ti 2.11-2.29
N: 0.7257 0.9304 0.3051  6 Ti 2.07-2.31
N: 0.9304 0.7257 0.8051  6 Ti 2.07-2.31

Computed properties:
As for the crystal system: orthorhombic. As for the total energy: -8.500 eV/atom. As for the space group: Cmc2_1 (36).


Density functional theory data (GGA-PBE) for an optimized crystal structure of TiHN.

a = 4.6832 Å, b = 4.6832 Å, c = 4.6832 Å
α = 90.00°, β = 90.00°, γ = 90.00°
Closest atoms and distances in Å follow each position.
Positions (direct):
Ti: 0.0000 0.0000 0.0000  4 H 2.03, 4 N 2.03
Ti: 0.0000 0.5000 0.5000  4 H 2.03, 4 N 2.03
Ti: 0.5000 0.0000 0.5000  4 H 2.03, 4 N 2.03
Ti: 0.5000 0.5000 0.0000  4 H 2.03, 4 N 2.03
H: 0.2500 0.2500 0.2500  4 Ti 2.03
H: 0.2500 0.7500 0.7500  4 Ti 2.03
H: 0.7500 0.2500 0.7500  4 Ti 2.03
H: 0.7500 0.7500 0.2500  4 Ti 2.03
N: 0.2500 0.2500 0.7500  4 Ti 2.03
N: 0.2500 0.7500 0.2500  4 Ti 2.03
N: 0.7500 0.2500 0.2500  4 Ti 2.03
N: 0.7500 0.7500 0.7500  4 Ti 2.03

Computed properties:
As for the crystal system: cubic. As for the total energy: -7.342 eV/atom. As for the space group: F-43m (216).


Density functional theory data (GGA-PBE) for an optimized crystal structure of Ti2HN.

a = 5.1904 Å, b = 5.9101 Å, c = 5.1342 Å
α = 90.00°, β = 90.00°, γ = 90.00°
Closest atoms and distances in Å follow each position.
Positions (direct):
Ti: 0.2439 0.1323 0.0000  3 H 2.10-2.25, 3 N 2.13-2.16
Ti: 0.2439 0.8677 0.5000  3 H 2.10-2.25, 3 N 2.13-2.16
Ti: 0.2561 0.3677 0.5000  3 H 2.10-2.25, 3 N 2.13-2.16
Ti: 0.2561 0.6323 0.0000  3 H 2.10-2.25, 3 N 2.13-2.16
Ti: 0.7439 0.3677 0.5000  3 H 2.10-2.25, 3 N 2.13-2.16
Ti: 0.7439 0.6323 0.0000  3 H 2.10-2.25, 3 N 2.13-2.16
Ti: 0.7561 0.1323 0.0000  3 H 2.10-2.25, 3 N 2.13-2.16
Ti: 0.7561 0.8677 0.5000  3 H 2.10-2.25, 3 N 2.13-2.16
H: 0.0000 0.3693 0.8170  6 Ti 2.10-2.25
H: 0.0000 0.6307 0.3170  6 Ti 2.10-2.25
H: 0.5000 0.1307 0.3170  6 Ti 2.10-2.25
H: 0.5000 0.8693 0.8170  6 Ti 2.10-2.25
N: 0.0000 0.1200 0.3328  6 Ti 2.13-2.16
N: 0.0000 0.8800 0.8328  6 Ti 2.13-2.16
N: 0.5000 0.3800 0.8328  6 Ti 2.13-2.16
N: 0.5000 0.6200 0.3328  6 Ti 2.13-2.16

Computed properties:
As for the crystal system: orthorhombic. The offset from the most stable computed form comes out at 1.690 eV per formula unit. As for the space group: Cmc2_1 (36).


no.,total magnetic moment (μB per cell)
1,0.0
2,0.0
3,0.0
4,0.0
5,0.0
6,0.0
7,0.0
8,0.0